! PBEsol Na2LiScPd, optimized geometry; values from VASP
! E_tot (eV/atom): -2.15
&SYSTEM
  ibrav = 0, nat = 5, ntyp = 4
/
ATOMIC_SPECIES
Sc 44.96 Sc.upf
Na 22.99 Na.upf
Pd 106.42 Pd.upf
Li 6.94 Li.upf
CELL_PARAMETERS angstrom
-3.6571 3.3658 -0.2667
-1.3105 -1.8305 -5.1316
-3.5682 -3.7003 2.2312
ATOMIC_POSITIONS crystal
Sc 0.0000 0.0000 0.0000
Na 0.0000 0.0000 0.5000
Na 0.0000 0.5000 0.0000
Pd 0.5000 0.5000 0.5000
Li 0.5000 0.0000 0.0000